Entry from the Alexandria database: RbHfSbI2 after structural relaxation (GGA-PBEsol).

The space group is P4/mmm (No. 123) and the conventional cell measures 5.755, 5.755 and 5.525 Å, with angles of 90.00, 90.00 and 90.00 degrees. The asymmetric unit holds Rb at (0.000, 0.000, 0.000), Hf at (0.500, 0.500, 0.500), Sb at (0.500, 0.500, 0.000) and I at (0.000, 0.500, 0.500).

Its formation energy (no corrections) is -2.74 eV/f.u.

=====

Entry from the Alexandria database: SrAlZn2 after structural relaxation (GGA-PBEsol).

The space group is R-3m (No. 166, hexagonal axes) and the conventional cell measures 4.3393, 4.3393 and 16.4662 Å, with angles of 90.00, 90.00 and 120.00 degrees. The asymmetric unit holds Sr at (0.0000, 0.0000, 0.0000), Al at (0.0000, 0.0000, 0.5000) and Zn at (0.0000, 0.0000, 0.2029).

As for the calculated formation energy: -0.192 eV per atom.

=====

Entry from the Alexandria database: MnMoN2 after structural relaxation (GGA-PBEsol).

The space group is R-3m (No. 166, hexagonal axes) and the conventional cell measures 2.8678, 2.8678 and 17.9971 Å, with angles of 90.00, 90.00 and 120.00 degrees. The asymmetric unit holds Mn at (0.0000, 0.0000, 0.0000), Mo at (0.0000, 0.0000, 0.5000) and N at (0.0000, 0.0000, 0.3923).

Its formation energy (no corrections) is 0.21 eV/f.u.

=====

Entry from the Alexandria database: As2HPd after structural relaxation (GGA-PBEsol).

The space group is Fm-3m (No. 225) and the conventional cell measures 6.021, 6.021 and 6.021 Å, with angles of 90.00, 90.00 and 90.00 degrees. The asymmetric unit holds As at (0.250, 0.250, 0.250), H at (0.000, 0.000, 0.000) and Pd at (0.000, 0.000, 0.500).

=====

Number 1: total energy -4.472 eV/atom. Number 2: total energy -2.466 eV/atom. Number 3: total energy -9.592 eV/atom. Number 4: total energy -4.686 eV/atom.